1.
A plane-wave DFT calculation with PBE was carried out for ZrSb2Au after structural relaxation.

Unit cell a=3.1811 b=3.1811 c=9.7821 alpha=90.00 beta=90.00 gamma=89.80
Closest atoms and distances in Å follow each position.
Element x y z (fractional)
Au  0.5000  0.5000  0.7252  4 Zr 2.95-2.96, 4 Sb 3.10-3.11, 4 Au 3.18
Sb  0.0000  0.0000  0.9440  4 Au 3.10-3.11, 4 Sb 3.18
Sb  0.5000  0.5000  0.3014  4 Zr 3.16-3.17, 4 Sb 3.18
Zr  0.0000  0.0000  0.5294  4 Au 2.95-2.96, 4 Sb 3.16-3.17, 4 Zr 3.18

VASP energy   -5.2651 eV per atom


2.
A plane-wave DFT calculation with PBE was carried out for Zr4H4Pb3 after structural relaxation.

Unit cell a=3.3082 b=7.6491 c=8.7223 alpha=116.01 beta=100.93 gamma=90.00
Closest atoms and distances in Å follow each position.
Element x y z (fractional)
Zr  0.1839  0.6839  0.3677  4 H 2.11
Zr  0.8161  0.3161  0.6323  4 H 2.11
Zr  0.5000  0.8072  0.0000  2 H 2.46
Zr  0.5000  0.1928  0.0000  2 H 2.46
H  0.3610  0.2146  0.7220  2 Zr 2.11, 1 H 2.24
H  0.6390  0.4926  0.2780  2 Zr 2.11, 1 H 2.24
H  0.6390  0.7854  0.2780  2 Zr 2.11, 1 H 2.24
H  0.3610  0.5074  0.7220  2 Zr 2.11, 1 H 2.24
Pb  0.1480  0.1480  0.2961  6 Zr 3.06-3.17, 4 H 3.17, 2 Pb 3.31
Pb  0.8520  0.8520  0.7039  6 Zr 3.06-3.17, 4 H 3.17, 2 Pb 3.31
Pb  0.0000  0.5000  0.0000  6 Zr 2.82-2.87, 8 H 2.92

VASP energy   -5.3822 eV per atom


3.
A plane-wave DFT calculation with PBE was carried out for AlNiRh2 after structural relaxation.

Unit cell a=2.7657 b=3.6513 c=5.2912 alpha=90.00 beta=90.00 gamma=90.00
Closest atoms and distances in Å follow each position.
Element x y z (fractional)
Ni  0.5000  0.5000  0.7575  6 Rh 2.57-2.66, 4 Al 2.66, 2 Ni 2.77
Rh  0.0000  0.0000  0.9795  2 Al 2.53-2.77, 4 Ni 2.57, 6 Rh 2.73-2.77
Rh  0.5000  0.5000  0.2609  4 Al 2.62, 2 Ni 2.63-2.66, 6 Rh 2.73-2.77
Al  0.0000  0.0000  0.5021  6 Rh 2.53-2.77, 4 Ni 2.66, 2 Al 2.77

Formation energy   -1.5 eV/f.u.


4.
A plane-wave DFT calculation with PBE was carried out for AlAu2Br2 after structural relaxation.

Unit cell a=6.9574 b=6.9574 c=5.2336 alpha=90.00 beta=90.00 gamma=90.00
Closest atoms and distances in Å follow each position.
Element x y z (fractional)
Au  0.3418  0.8418  0.0000  2 Al 2.62, 2 Br 2.63
Au  0.8418  0.6582  0.0000  2 Al 2.62, 2 Br 2.63
Au  0.6582  0.1582  0.0000  2 Al 2.62, 2 Br 2.63
Au  0.1582  0.3418  0.0000  2 Al 2.62, 2 Br 2.63
Al  0.0000  0.0000  0.0000  4 Au 2.62
Al  0.5000  0.5000  0.0000  4 Au 2.62
Br  0.3150  0.8150  0.5000  2 Au 2.63
Br  0.8150  0.6850  0.5000  2 Au 2.63
Br  0.6850  0.1850  0.5000  2 Au 2.63
Br  0.1850  0.3150  0.5000  2 Au 2.63

ΔE to the lowest computed polymorph   0 meV/atom


Please write out number 2 again, unchanged.
A plane-wave DFT calculation with PBE was carried out for Zr4H4Pb3 after structural relaxation.

Unit cell a=3.3082 b=7.6491 c=8.7223 alpha=116.01 beta=100.93 gamma=90.00
Closest atoms and distances in Å follow each position.
Element x y z (fractional)
Zr  0.1839  0.6839  0.3677  4 H 2.11
Zr  0.8161  0.3161  0.6323  4 H 2.11
Zr  0.5000  0.8072  0.0000  2 H 2.46
Zr  0.5000  0.1928  0.0000  2 H 2.46
H  0.3610  0.2146  0.7220  2 Zr 2.11, 1 H 2.24
H  0.6390  0.4926  0.2780  2 Zr 2.11, 1 H 2.24
H  0.6390  0.7854  0.2780  2 Zr 2.11, 1 H 2.24
H  0.3610  0.5074  0.7220  2 Zr 2.11, 1 H 2.24
Pb  0.1480  0.1480  0.2961  6 Zr 3.06-3.17, 4 H 3.17, 2 Pb 3.31
Pb  0.8520  0.8520  0.7039  6 Zr 3.06-3.17, 4 H 3.17, 2 Pb 3.31
Pb  0.0000  0.5000  0.0000  6 Zr 2.82-2.87, 8 H 2.92

VASP energy   -5.3822 eV per atom